(1)
La2InCoN after structural relaxation, computed with PBE.

Its space group is No. 123. Its formation energy from raw total energies is -0.594 eV per atom.

```
data_La2InCoN
_chemical_formula_sum 'La2 In1 Co1 N1'
_cell_length_a 5.4810
_cell_length_b 5.4810
_cell_length_c 3.6252
_cell_angle_alpha 90.00
_cell_angle_beta 90.00
_cell_angle_gamma 90.00
_space_group_name_H-M_alt 'P 1'
_space_group_IT_number 1
loop_
_space_group_symop_operation_xyz
'x,y,z'
loop_
_atom_site_label
_atom_site_fract_x
_atom_site_fract_y
_atom_site_fract_z
N1 0.0000 0.0000 0.0000
In1 0.5000 0.5000 0.5000
Co1 0.0000 0.0000 0.5000
La1 0.0000 0.5000 0.0000
La2 0.5000 0.0000 0.0000
```

---

(2)
TmPaInTc after structural relaxation, computed with PBE.

Its space group is No. 216. For the energy relative to the elements, the calculation gives -0.0060 eV per atom. The calculation puts the distance to the lowest polymorph of the same formula at 291 meV/atom.

```
data_TmPaInTc
_chemical_formula_sum 'Tm1 Pa1 In1 Tc1'
_cell_length_a 5.0530
_cell_length_b 5.0530
_cell_length_c 5.0530
_cell_angle_alpha 60.00
_cell_angle_beta 60.00
_cell_angle_gamma 60.00
_space_group_name_H-M_alt 'P 1'
_space_group_IT_number 1
loop_
_space_group_symop_operation_xyz
'x,y,z'
loop_
_atom_site_label
_atom_site_fract_x
_atom_site_fract_y
_atom_site_fract_z
Pa1 0.5000 0.5000 0.5000
Tm1 0.0000 0.0000 0.0000
Tc1 0.7500 0.7500 0.7500
In1 0.2500 0.2500 0.2500
```

---

(3)
NaHg9Pb2 after structural relaxation, computed with PBE.

Its space group is No. 123. For the energy relative to the elements, the calculation gives -0.0228 eV per atom.

```
data_NaHg9Pb2
_chemical_formula_sum 'Na1 Hg9 Pb2'
_cell_length_a 5.5142
_cell_length_b 5.5142
_cell_length_c 10.6693
_cell_angle_alpha 90.00
_cell_angle_beta 90.00
_cell_angle_gamma 90.00
_space_group_name_H-M_alt 'P 1'
_space_group_IT_number 1
loop_
_space_group_symop_operation_xyz
'x,y,z'
loop_
_atom_site_label
_atom_site_fract_x
_atom_site_fract_y
_atom_site_fract_z
Na1 0.0000 0.0000 0.0000
Hg1 0.5000 0.5000 0.0000
Hg2 0.5000 0.5000 0.3349
Hg3 0.5000 0.5000 0.6651
Hg4 0.5000 0.0000 0.1628
Hg5 0.5000 0.0000 0.5000
Hg6 0.5000 0.0000 0.8372
Hg7 0.0000 0.5000 0.1628
Hg8 0.0000 0.5000 0.5000
Hg9 0.0000 0.5000 0.8372
Pb1 0.0000 0.0000 0.3272
Pb2 0.0000 0.0000 0.6728
```

---

(4)
EuCuPtPb after structural relaxation, computed with PBE.

Its space group is No. 216. For the energy relative to the elements, the calculation gives -0.3120 eV per atom.

```
data_EuCuPtPb
_chemical_formula_sum 'Eu1 Cu1 Pt1 Pb1'
_cell_length_a 4.9593
_cell_length_b 4.9593
_cell_length_c 4.9593
_cell_angle_alpha 60.00
_cell_angle_beta 60.00
_cell_angle_gamma 60.00
_space_group_name_H-M_alt 'P 1'
_space_group_IT_number 1
loop_
_space_group_symop_operation_xyz
'x,y,z'
loop_
_atom_site_label
_atom_site_fract_x
_atom_site_fract_y
_atom_site_fract_z
Pb1 0.5000 0.5000 0.5000
Eu1 0.0000 0.0000 0.0000
Cu1 0.2500 0.2500 0.2500
Pt1 0.7500 0.7500 0.7500
```

---

| no. | DOS(E_F) (states/eV/atom) | VASP energy (eV/cell) | calculated density (g/cm³) |
| --- | --- | --- | --- |
| 1 | 0.84 | -31.00 | 7.10 |
| 2 | 0.88 | -27.10 | 11.15 |
| 3 | 0.43 | -11.73 | 11.48 |
| 4 | 3.22 | -25.37 | 11.89 |